This record from the Alexandria database describes crystalline Tb9Ho4Hg11 at its relaxed geometry. The functional is PBE.

Cell lengths 3.550, 13.773, 13.773 Å; angles 110.23, 90.00, 90.00 degrees
Sites, in units of the cell vectors:
Hg (0.000, 0.824, 0.176)
Hg (0.000, 0.944, 0.587)
Hg (0.000, 0.371, 0.629)
Hg (0.000, 0.587, 0.944)
Hg (0.000, 0.770, 0.770)
Hg (0.000, 0.413, 0.056)
Hg (0.000, 0.176, 0.824)
Hg (0.000, 0.000, 0.000)
Hg (0.000, 0.230, 0.230)
Hg (0.000, 0.056, 0.413)
Hg (0.000, 0.629, 0.371)
Ho (0.500, 0.574, 0.748)
Ho (0.500, 0.748, 0.574)
Ho (0.500, 0.426, 0.252)
Ho (0.500, 0.252, 0.426)
Tb (0.500, 0.974, 0.796)
Tb (0.500, 0.622, 0.148)
Tb (0.500, 0.148, 0.622)
Tb (0.500, 0.026, 0.204)
Tb (0.500, 0.852, 0.378)
Tb (0.500, 0.500, 0.500)
Tb (0.500, 0.378, 0.852)
Tb (0.500, 0.204, 0.026)
Tb (0.500, 0.796, 0.974)

Properties
- Energy of formation from the pure elements: -375 meV/atom